(1)
{"formula": "Zn2ReTc", "functional": "GGA-PBE", "state": "relaxed", "delta_e_f_ev_per_atom": 0.2273, "e_above_lowest_polymorph_ev_per_atom": 0.199, "cell": [[5.129, -0.002, 0.000], [2.406, 4.530, 0.000], [-3.327, -2.997, 2.501]], "species": ["Re", "Zn", "Tc", "Zn"], "frac_coords": [[0.750, 0.250, 0.500], [0.499, 0.499, 0.000], [0.250, 0.750, 0.500], [0.001, 0.001, 0.000]]}

=====

(2)
{"formula": "ZnRe2Tc", "functional": "GGA-PBE", "state": "relaxed", "delta_e_f_ev_per_atom": 0.2967, "cell": [[3.071, 0.000, 0.000], [0.000, 4.351, 0.000], [0.000, 0.000, 4.393]], "species": ["Zn", "Re", "Tc", "Re"], "frac_coords": [[0.000, 0.500, 0.500], [0.000, 0.000, 0.000], [0.500, 0.000, 0.500], [0.500, 0.500, 0.000]]}

=====

(3)
{"formula": "ZnReTc", "functional": "GGA-PBE", "state": "relaxed", "delta_e_f_ev_per_atom": 0.0409, "e_above_lowest_polymorph_ev_per_atom": 0.012, "cell": [[-4.602, -1.898, -0.944], [-3.400, -1.872, 3.256], [3.131, 3.875, -0.920]], "species": ["Zn", "Re", "Tc"], "frac_coords": [[0.667, 0.667, 0.000], [0.992, 0.992, 0.000], [0.341, 0.341, 0.000]]}

=====

(4)
{"formula": "ZnReTc", "functional": "GGA-PBE", "state": "relaxed", "delta_e_f_ev_per_atom": 0.1570, "e_above_lowest_polymorph_ev_per_atom": 0.128, "cell": [[4.369, 0.000, 0.000], [-2.185, 3.784, 0.000], [0.000, 0.000, 2.653]], "species": ["Zn", "Tc", "Re"], "frac_coords": [[0.333, 0.667, 0.664], [0.667, 0.333, 0.295], [0.000, 0.000, 0.041]]}

=====

(5)
{"formula": "Zn2ReTc", "functional": "GGA-PBE", "state": "relaxed", "delta_e_f_ev_per_atom": 0.2187, "e_above_lowest_polymorph_ev_per_atom": 0.190, "cell": [[2.648, -0.026, 0.000], [-0.850, 2.508, 0.000], [0.000, 0.000, 8.793]], "species": ["Zn", "Re", "Zn", "Tc"], "frac_coords": [[0.000, 0.000, 0.998], [0.500, 0.500, 0.250], [0.000, 0.000, 0.502], [0.500, 0.500, 0.750]]}

=====

(6)
{"formula": "ZnReTc2", "functional": "GGA-PBE", "state": "relaxed", "delta_e_f_ev_per_atom": 0.2288, "cell": [[2.681, 0.004, 0.000], [-1.103, 2.443, 0.000], [0.000, 0.000, 9.036]], "species": ["Tc", "Tc", "Re", "Zn"], "frac_coords": [[0.000, 0.000, 0.001], [0.500, 0.500, 0.248], [0.500, 0.500, 0.753], [0.000, 0.000, 0.498]]}

=====

(7)
{"formula": "ZnRe2Tc", "functional": "GGA-PBE", "state": "relaxed", "delta_e_f_ev_per_atom": 0.0833, "cell": [[2.765, 0.002, 0.001], [1.384, 2.394, 0.001], [1.385, 0.800, 8.937]], "species": ["Tc", "Re", "Zn", "Re"], "frac_coords": [[0.667, 0.667, 0.000], [0.251, 0.251, 0.246], [0.500, 0.500, 0.500], [0.082, 0.082, 0.754]]}

=====

(8)
{"formula": "ZnReTc2", "functional": "GGA-PBE", "state": "relaxed", "delta_e_f_ev_per_atom": 0.1724, "cell": [[-4.294, -0.625, 2.106], [-3.674, -3.016, 0.813], [1.216, -1.893, 4.086]], "species": ["Re", "Tc", "Tc", "Zn"], "frac_coords": [[0.750, 0.750, 0.750], [0.008, 0.008, 0.986], [0.492, 0.492, 0.514], [0.250, 0.250, 0.250]]}

=====

(9)
{"formula": "Zn2ReTc", "functional": "GGA-PBE", "state": "relaxed", "delta_e_f_ev_per_atom": 0.4410, "e_above_lowest_polymorph_ev_per_atom": 0.412, "cell": [[3.033, 0.000, 0.000], [0.000, 3.033, 0.000], [0.000, 0.000, 6.127]], "species": ["Tc", "Re", "Zn", "Zn"], "frac_coords": [[0.500, 0.500, 0.750], [0.500, 0.500, 0.250], [0.000, 0.000, 0.997], [0.000, 0.000, 0.503]]}

=====

(10)
{"formula": "Zn2ReTc", "functional": "GGA-PBE", "state": "relaxed", "delta_e_f_ev_per_atom": 0.2199, "e_above_lowest_polymorph_ev_per_atom": 0.191, "cell": [[9.070, -0.009, -0.005], [8.656, 2.708, -0.005], [8.656, 1.318, 2.365]], "species": ["Re", "Zn", "Tc", "Zn"], "frac_coords": [[0.250, 0.250, 0.250], [0.000, 0.000, 0.000], [0.750, 0.750, 0.750], [0.500, 0.500, 0.500]]}

=====

(11)
{"formula": "Zn2ReTc", "functional": "GGA-PBE", "state": "relaxed", "delta_e_f_ev_per_atom": 0.4122, "e_above_lowest_polymorph_ev_per_atom": 0.384, "cell": [[4.667, 0.000, 0.000], [0.000, 4.667, 0.000], [0.000, 0.000, 2.641]], "species": ["Zn", "Tc", "Zn", "Re"], "frac_coords": [[0.500, 0.500, 0.000], [0.000, 0.500, 0.500], [0.000, 0.000, 0.000], [0.500, 0.000, 0.500]]}

=====

(12)
{"formula": "ZnRe2Tc", "functional": "GGA-PBE", "state": "relaxed", "delta_e_f_ev_per_atom": 0.3054, "cell": [[4.798, 0.008, 0.000], [-1.886, 4.412, 0.000], [0.000, 0.000, 2.775]], "species": ["Tc", "Zn", "Re", "Re"], "frac_coords": [[0.500, 0.000, 0.500], [0.000, 0.500, 0.500], [0.500, 0.500, 0.000], [0.000, 0.000, 0.000]]}